A plane-wave DFT calculation with PBE-GGA was carried out for a relaxed TbZrCdPd crystal.

Unit cell a=5.005 b=5.005 c=5.005 alpha=60.00 beta=60.00 gamma=60.00
Element x y z (fractional)
Tb  0.000  0.000  0.000
Zr  0.500  0.500  0.500
Cd  0.750  0.750  0.750
Pd  0.250  0.250  0.250

Calculated values
The value obtained for the energy of formation from the pure elements is -0.325 eV per atom. The space group is F-43m (216).

=====

A plane-wave DFT calculation with PBE-GGA was carried out for a relaxed TaCrSi2 crystal.

Unit cell a=4.729 b=4.729 c=4.483 alpha=102.58 beta=102.58 gamma=35.34
Element x y z (fractional)
Ta  0.000  0.000  0.000
Cr  0.226  0.226  0.661
Si  0.486  0.486  0.491
Si  0.750  0.750  0.199

Calculated values
The space group is Cm (8). The raw formation energy comes out at -11.8 kJ per mole of atoms.

=====

A plane-wave DFT calculation with PBE-GGA was carried out for a relaxed Ac2NiAg3Sn4 crystal.

Unit cell a=4.709 b=4.709 c=11.388 alpha=90.00 beta=90.00 gamma=90.00
Element x y z (fractional)
Ac  0.000  0.500  0.232
Ac  0.500  0.000  0.768
Ni  0.500  0.500  0.000
Ag  0.000  0.000  0.000
Ag  0.000  0.500  0.644
Ag  0.500  0.000  0.356
Sn  0.000  0.000  0.500
Sn  0.000  0.500  0.884
Sn  0.500  0.000  0.116
Sn  0.500  0.500  0.500

Calculated values
The value obtained for the energy of formation from the pure elements is -0.415 eV per atom. The space group is P-4m2 (115).

=====

A plane-wave DFT calculation with PBE-GGA was carried out for a relaxed Pr4HoMg crystal.

Unit cell a=3.713 b=3.713 c=14.513 alpha=90.00 beta=90.00 gamma=90.00
Element x y z (fractional)
Pr  0.000  0.000  0.151
Pr  0.000  0.000  0.849
Pr  0.500  0.500  0.328
Pr  0.500  0.500  0.672
Ho  0.000  0.000  0.500
Mg  0.500  0.500  0.000

Calculated values
The excess energy over the best structure of this formula in the dataset comes out at 0.000 eV per atom. The value obtained for the energy of formation from the pure elements is -0.021 eV per atom. The space group is P4/mmm (123).

=====

A plane-wave DFT calculation with PBE-GGA was carried out for a relaxed ErHfTc2 crystal.

Unit cell a=4.703 b=4.703 c=4.703 alpha=60.00 beta=60.00 gamma=60.00
Element x y z (fractional)
Er  0.000  0.000  0.000
Hf  0.500  0.500  0.500
Tc  0.250  0.250  0.250
Tc  0.750  0.750  0.750

Calculated values
The excess energy over the best structure of this formula in the dataset comes out at 0.020 eV per atom. The value obtained for the energy of formation from the pure elements is -0.141 eV per atom. The space group is Fm-3m (225).

=====

A plane-wave DFT calculation with PBE-GGA was carried out for a relaxed LaNd12Mg3 crystal.

Unit cell a=5.078 b=5.078 c=20.472 alpha=90.00 beta=90.00 gamma=90.00
Element x y z (fractional)
La  0.000  0.000  0.000
Nd  0.000  0.500  0.131
Nd  0.000  0.500  0.378
Nd  0.000  0.500  0.622
Nd  0.000  0.500  0.869
Nd  0.500  0.000  0.131
Nd  0.500  0.000  0.378
Nd  0.500  0.000  0.622
Nd  0.500  0.000  0.869
Nd  0.500  0.500  0.000
Nd  0.500  0.500  0.256
Nd  0.500  0.500  0.500
Nd  0.500  0.500  0.744
Mg  0.000  0.000  0.256
Mg  0.000  0.000  0.500
Mg  0.000  0.000  0.744

Calculated values
The value obtained for the energy of formation from the pure elements is 0.006 eV per atom. The space group is P4/mmm (123).

=====

A plane-wave DFT calculation with PBE-GGA was carried out for a relaxed CsCrS3 crystal.

Unit cell a=5.419 b=5.419 c=5.419 alpha=90.00 beta=90.00 gamma=90.00
Element x y z (fractional)
Cs  0.000  0.000  0.000
Cr  0.500  0.500  0.500
S  0.000  0.000  0.500
S  0.000  0.500  0.000
S  0.500  0.000  0.000

Calculated values
The excess energy over the best structure of this formula in the dataset comes out at 2.218 eV per atom. The space group is Pm-3m (221). The raw formation energy comes out at 140.3 kJ per mole of atoms.

=====

A plane-wave DFT calculation with PBE-GGA was carried out for a relaxed NaInSn crystal.

Unit cell a=4.717 b=4.766 c=7.951 alpha=90.00 beta=90.00 gamma=90.00
Element x y z (fractional)
Na  0.000  0.000  0.000
Na  0.500  0.500  0.318
In  0.000  0.000  0.404
In  0.500  0.000  0.661
Sn  0.000  0.500  0.662
Sn  0.500  0.500  0.911

Calculated values
The value obtained for the energy of formation from the pure elements is -0.124 eV per atom. The space group is Pmm2 (25).

=====

Calculated volume, record by record: 22.2; 14.1; 25.2; 33.3; 18.4; 33.0; 31.8; 29.8 Å³/atom